Computed, not measured: a PBEsol-optimized structure of SrFeAu2 at the meta-GGA SCAN level of DFT.

a = 4.8810 Å, b = 4.8810 Å, c = 4.8810 Å
α = 60.00°, β = 60.00°, γ = 60.00°
Each line ends with the local moment (μB).
Positions (direct):
Fe 0.5000 0.5000 0.5000  3.33
Au 0.2500 0.2500 0.2500  0.03
Au 0.7500 0.7500 0.7500  0.03
Sr 0.0000 0.0000 0.0000  -0.02

Energy above the lowest structure with this stoichiometry: 276.1 meV per atom
SG: No. 225
Calculated formation energy: -0.12 eV per atom
Size of the total moment: 0.823 μB/atom


Computed, not measured: a PBEsol-optimized structure of SrZrFeAu2 at the meta-GGA SCAN level of DFT.

a = 5.1641 Å, b = 5.1641 Å, c = 5.2704 Å
α = 90.00°, β = 90.00°, γ = 90.00°
Each line ends with the local moment (μB).
Positions (direct):
Zr 0.0000 0.0000 0.5000  -1.32
Au 0.0000 0.5000 0.0000  0.01
Fe 0.5000 0.5000 0.5000  3.41
Sr 0.0000 0.0000 0.0000  -0.21
Au 0.5000 0.0000 0.0000  0.01

SG: No. 123
Calculated formation energy: 1.66 eV per atom
Size of the total moment: 0.268 μB/atom


Computed, not measured: a PBEsol-optimized structure of TaFe2Au at the meta-GGA SCAN level of DFT.

a = 4.2463 Å, b = 4.2463 Å, c = 4.2463 Å
α = 60.00°, β = 60.00°, γ = 60.00°
Each line ends with the local moment (μB).
Positions (direct):
Ta 0.5000 0.5000 0.5000  -0.58
Fe 0.2500 0.2500 0.2500  2.68
Au 0.0000 0.0000 0.0000  0.10
Fe 0.7500 0.7500 0.7500  2.68

SG: No. 225
Calculated formation energy: 0.02 eV per atom
Size of the total moment: 1.184 μB/atom


Computed, not measured: a PBEsol-optimized structure of TaFe4Au at the meta-GGA SCAN level of DFT.

a = 4.7265 Å, b = 4.7265 Å, c = 4.7265 Å
α = 60.00°, β = 60.00°, γ = 60.00°
Each line ends with the local moment (μB).
Positions (direct):
Fe 0.6258 0.6258 0.1226  2.22
Fe 0.6258 0.6258 0.6258  2.22
Fe 0.6258 0.1226 0.6258  2.22
Au 0.0000 0.0000 0.0000  0.01
Ta 0.2500 0.2500 0.2500  -0.80
Fe 0.1226 0.6258 0.6258  2.22

SG: No. 216
Calculated formation energy: -0.09 eV per atom
Size of the total moment: 1.275 μB/atom


Computed, not measured: a PBEsol-optimized structure of YTaFeAu2 at the meta-GGA SCAN level of DFT.

a = 4.2790 Å, b = 4.8605 Å, c = 4.8605 Å
α = 90.00°, β = 90.00°, γ = 90.00°
Each line ends with the local moment (μB).
Positions (direct):
Fe 0.0000 0.0000 0.0000  1.35
Au 0.0000 0.5000 0.0000  0.00
Au 0.0000 0.0000 0.5000  0.00
Ta 0.5000 0.0000 0.0000  -0.78
Y 0.5000 0.5000 0.5000  -0.18

SG: No. 123
Calculated formation energy: 0.15 eV per atom
Size of the total moment: 0.009 μB/atom


Computed, not measured: a PBEsol-optimized structure of Fe2TcAu at the meta-GGA SCAN level of DFT.

a = 2.6875 Å, b = 3.6026 Å, c = 5.4347 Å
α = 90.00°, β = 90.00°, γ = 90.00°
Each line ends with the local moment (μB).
Positions (direct):
Tc 0.5000 0.5000 0.0000  -0.55
Fe 0.0000 0.0000 0.7821  2.67
Au 0.5000 0.5000 0.5000  0.05
Fe 0.0000 0.0000 0.2179  2.67

SG: No. 47
Calculated formation energy: 0.15 eV per atom
Size of the total moment: 1.200 μB/atom


Computed, not measured: a PBEsol-optimized structure of FeTcAu3 at the meta-GGA SCAN level of DFT.

a = 4.6499 Å, b = 4.6499 Å, c = 4.6499 Å
α = 90.00°, β = 90.00°, γ = 90.00°
Each line ends with the local moment (μB).
Positions (direct):
Fe 0.0000 0.0000 0.0000  2.90
Au 0.5000 0.0000 0.0000  0.12
Au 0.0000 0.0000 0.5000  0.12
Tc 0.5000 0.5000 0.5000  3.94
Au 0.0000 0.5000 0.0000  0.12

SG: No. 221
Calculated formation energy: 1.06 eV per atom
Size of the total moment: 1.470 μB/atom


Computed, not measured: a PBEsol-optimized structure of FeTcAu at the meta-GGA SCAN level of DFT.

a = 4.0307 Å, b = 4.0307 Å, c = 4.0307 Å
α = 60.00°, β = 60.00°, γ = 60.00°
Each line ends with the local moment (μB).
Positions (direct):
Au 0.5000 0.5000 0.5000  0.12
Tc 0.0000 0.0000 0.0000  -0.61
Fe 0.2500 0.2500 0.2500  2.41

Energy above the lowest structure with this stoichiometry: 230.6 meV per atom
SG: No. 216
Calculated formation energy: 0.43 eV per atom
Size of the total moment: 0.643 μB/atom


Computed, not measured: a PBEsol-optimized structure of FeTcAu at the meta-GGA SCAN level of DFT.

a = 2.7084 Å, b = 2.7084 Å, c = 5.9248 Å
α = 103.20°, β = 103.20°, γ = 90.04°
Each line ends with the local moment (μB).
Positions (direct):
Fe 0.3193 0.3193 0.6385  2.39
Tc 0.6860 0.6860 0.3719  -0.58
Au 0.9948 0.9948 0.9896  0.02

Energy above the lowest structure with this stoichiometry: 0.0 meV per atom
SG: No. 107
Calculated formation energy: 0.20 eV per atom
Size of the total moment: 0.618 μB/atom


Computed, not measured: a PBEsol-optimized structure of Fe2TeAu at the meta-GGA SCAN level of DFT.

a = 3.4092 Å, b = 3.9441 Å, c = 5.0546 Å
α = 90.00°, β = 109.71°, γ = 90.00°
Each line ends with the local moment (μB).
Positions (direct):
Au 0.3993 0.5000 0.7986  0.07
Fe 0.6816 0.5000 0.3632  2.78
Te 0.1024 0.0000 0.2047  -0.04
Fe 0.8257 0.0000 0.6513  2.89

SG: No. 38
Size of the total moment: 1.413 μB/atom
E_form (uncorrected): 208 meV/atom


Computed, not measured: a PBEsol-optimized structure of FeTeAu at the meta-GGA SCAN level of DFT.

a = 4.4266 Å, b = 4.4266 Å, c = 4.4266 Å
α = 60.00°, β = 60.00°, γ = 60.00°
Each line ends with the local moment (μB).
Positions (direct):
Fe 0.5000 0.5000 0.5000  2.87
Te 0.7500 0.7500 0.7500  0.00
Au 0.0000 0.0000 0.0000  0.02

SG: No. 216
Size of the total moment: 0.971 μB/atom
E_form (uncorrected): 377 meV/atom


Computed, not measured: a PBEsol-optimized structure of FeTe2Au at the meta-GGA SCAN level of DFT.

a = 4.8382 Å, b = 4.8382 Å, c = 4.8382 Å
α = 60.00°, β = 60.00°, γ = 60.00°
Each line ends with the local moment (μB).
Positions (direct):
Au 0.0000 0.0000 0.0000  -0.01
Te 0.2500 0.2500 0.2500  -0.04
Fe 0.5000 0.5000 0.5000  3.04
Te 0.7500 0.7500 0.7500  -0.04

SG: No. 225
Size of the total moment: 0.739 μB/atom
E_form (uncorrected): 483 meV/atom


Computed, not measured: a PBEsol-optimized structure of FeTeAu2 at the meta-GGA SCAN level of DFT.

a = 4.0092 Å, b = 4.3244 Å, c = 4.3244 Å
α = 102.95°, β = 90.00°, γ = 90.00°
Each line ends with the local moment (μB).
Positions (direct):
Te 0.5000 0.5000 0.5000  0.04
Au 0.0000 0.0000 0.5000  0.03
Au 0.0000 0.5000 0.0000  0.03
Fe 0.5000 0.0000 0.0000  3.23

SG: No. 65
Size of the total moment: 0.837 μB/atom
E_form (uncorrected): 249 meV/atom


Computed, not measured: a PBEsol-optimized structure of TlFeAu2 at the meta-GGA SCAN level of DFT.

a = 3.0071 Å, b = 3.6545 Å, c = 6.3778 Å
α = 90.00°, β = 90.05°, γ = 90.00°
Each line ends with the local moment (μB).
Positions (direct):
Au 0.9994 0.0000 0.0242  0.02
Fe 0.0004 0.0000 0.4662  3.17
Tl 0.5001 0.5000 0.7371  0.01
Au 0.5001 0.5000 0.2725  0.05

Energy above the lowest structure with this stoichiometry: 119.8 meV per atom
SG: No. 25
Calculated formation energy: 0.21 eV per atom
Size of the total moment: 0.801 μB/atom


Computed, not measured: a PBEsol-optimized structure of TlFeAu2 at the meta-GGA SCAN level of DFT.

a = 2.9866 Å, b = 2.9866 Å, c = 8.0271 Å
α = 90.00°, β = 90.00°, γ = 90.00°
Each line ends with the local moment (μB).
Positions (direct):
Fe 0.5000 0.5000 0.0000  3.28
Au 0.0000 0.0000 0.7949  0.04
Tl 0.5000 0.5000 0.5000  0.00
Au 0.0000 0.0000 0.2051  0.04

Energy above the lowest structure with this stoichiometry: 0.0 meV per atom
SG: No. 123
Calculated formation energy: 0.09 eV per atom
Size of the total moment: 0.819 μB/atom


Computed, not measured: a PBEsol-optimized structure of FeW2Au at the meta-GGA SCAN level of DFT.

a = 3.2032 Å, b = 3.2032 Å, c = 5.7435 Å
α = 90.00°, β = 90.00°, γ = 90.00°
Each line ends with the local moment (μB).
Positions (direct):
W 0.0000 0.0000 0.9807  -0.21
W 0.5000 0.5000 0.2344  0.09
Au 0.0000 0.0000 0.5137  -0.03
Fe 0.5000 0.5000 0.7711  2.54

Energy above the lowest structure with this stoichiometry: 0.0 meV per atom
SG: No. 99
Calculated formation energy: 0.28 eV per atom
Size of the total moment: 0.575 μB/atom


Computed, not measured: a PBEsol-optimized structure of Fe2WAu at the meta-GGA SCAN level of DFT.

a = 2.7559 Å, b = 4.4908 Å, c = 4.4908 Å
α = 105.38°, β = 90.00°, γ = 90.00°
Each line ends with the local moment (μB).
Positions (direct):
Au 0.5000 0.5000 0.5000  -0.05
W 0.5000 0.0000 0.0000  -0.69
Fe 0.0000 0.5000 0.0000  2.46
Fe 0.0000 0.0000 0.5000  2.46

Energy above the lowest structure with this stoichiometry: 147.1 meV per atom
SG: No. 65
Calculated formation energy: 0.30 eV per atom
Size of the total moment: 0.988 μB/atom


Computed, not measured: a PBEsol-optimized structure of Fe2WAu at the meta-GGA SCAN level of DFT.

a = 2.8155 Å, b = 2.8155 Å, c = 6.8365 Å
α = 90.00°, β = 90.00°, γ = 90.00°
Each line ends with the local moment (μB).
Positions (direct):
Fe 0.5000 0.5000 0.2294  2.02
W 0.0000 0.0000 0.4652  -0.18
Au 0.5000 0.5000 0.7700  0.02
Fe 0.0000 0.0000 0.0355  3.01

Energy above the lowest structure with this stoichiometry: 0.0 meV per atom
SG: No. 99
Calculated formation energy: 0.16 eV per atom
Size of the total moment: 1.201 μB/atom


Computed, not measured: a PBEsol-optimized structure of Fe2WAu at the meta-GGA SCAN level of DFT.

a = 3.8498 Å, b = 3.8498 Å, c = 4.4750 Å
α = 115.48°, β = 115.48°, γ = 90.00°
Each line ends with the local moment (μB).
Positions (direct):
Fe 0.7500 0.2500 0.5000  2.60
Au 0.5000 0.5000 0.0000  0.00
W 0.0000 0.0000 0.0000  -0.82
Fe 0.2500 0.7500 0.5000  2.60

Energy above the lowest structure with this stoichiometry: 91.5 meV per atom
SG: No. 139
Calculated formation energy: 0.25 eV per atom
Size of the total moment: 1.053 μB/atom


Computed, not measured: a PBEsol-optimized structure of FeW2Au at the meta-GGA SCAN level of DFT.

a = 2.7598 Å, b = 2.7598 Å, c = 9.1208 Å
α = 81.30°, β = 81.30°, γ = 60.00°
Each line ends with the local moment (μB).
Positions (direct):
Au 0.5048 0.5048 0.4857  -0.04
W 0.9925 0.9925 0.0225  0.15
W 0.7487 0.7487 0.7539  0.02
Fe 0.2540 0.2540 0.2379  -2.67

Energy above the lowest structure with this stoichiometry: 128.3 meV per atom
SG: No. 160
Calculated formation energy: 0.41 eV per atom
Size of the total moment: 0.626 μB/atom


no.,electronic total energy (eV/atom)
1,-44.8040
2,-40.2277
3,-42.9802
4,-34.7969
5,-50.0270
6,-34.9689
7,-51.0710
8,-40.3500
9,-40.5807
10,-35.4590
11,-41.1356
12,-39.9645
13,-48.1750
14,-56.9882
15,-57.1079
16,-56.3838
17,-43.4733
18,-43.6204
19,-43.5289
20,-56.2555